VASP calculation (PBE+U) on an optimized crystal structure of InW3O.

Calculated values
Its space group is Pm-3m, No. 221. The total moment is 11.0 μB per formula unit. The volume is 33.2 Å³/atom. For the density of states at the Fermi level, the calculation gives 4.20 states/eV per cell. The excess energy over the best structure of this formula in the dataset comes out at 10.03 eV/f.u. Its uncorrected energy is -3.12 eV per atom.

Unit cell a=5.4944 b=5.4944 c=5.4944 alpha=90.00 beta=90.00 gamma=90.00
Last column: nearest neighbours and their distance in Å.
Fractional positions:
1 O 0.5000 0.5000 0.5000  12 W 3.89
2 W 0.0000 0.5000 0.0000  2 In 2.75
3 W 0.0000 0.0000 0.5000  2 In 2.75
4 W 0.5000 0.0000 0.0000  2 In 2.75
5 In 0.0000 0.0000 0.0000  6 W 2.75